P.
# CrCu2W (PBE-GGA, optimized geometry)
# M_tot = 0.43 μB/f.u.
data_CrCu2W
_space_group_name_H-M_alt 'P 1 2/m 1'
_space_group_IT_number 10
_space_group_name_Hall '-P 2y'
_cell_length_a 2.5538
_cell_length_b 4.0657
_cell_length_c 5.0181
_cell_angle_alpha 90.00
_cell_angle_beta 90.91
_cell_angle_gamma 90.00
loop_
_atom_site_label
_atom_site_fract_x
_atom_site_fract_y
_atom_site_fract_z
_atom_site_occupancy
Cr1 0.0000 0.0000 0.0000 1
Cu1 0.4972 0.5000 0.2445 1
W1 0.0000 0.0000 0.5000 1

---

Q.
# CrCu2W (PBE-GGA, optimized geometry)
# M_tot = 0.11 μB/f.u.
data_CrCu2W
_space_group_name_H-M_alt 'P 4 m m'
_space_group_IT_number 99
_space_group_name_Hall 'P 4 -2'
_cell_length_a 3.0952
_cell_length_b 3.0952
_cell_length_c 5.4907
_cell_angle_alpha 90.00
_cell_angle_beta 90.00
_cell_angle_gamma 90.00
loop_
_atom_site_label
_atom_site_fract_x
_atom_site_fract_y
_atom_site_fract_z
_atom_site_occupancy
Cr1 0.0000 0.0000 0.0000 1
Cu1 0.0000 0.0000 0.4840 1
Cu2 0.5000 0.5000 0.2677 1
W1 0.5000 0.5000 0.7691 1

---

Q: Which of them is the most stable? A: Q.

---

P.
# SiMoCl2 (PBE-GGA, optimized geometry)
# M_tot = 2.58 μB/f.u.
data_SiMoCl2
_space_group_name_H-M_alt 'I 4/m m m'
_space_group_IT_number 139
_space_group_name_Hall '-I 4 2'
_cell_length_a 4.2247
_cell_length_b 4.2247
_cell_length_c 8.3028
_cell_angle_alpha 90.00
_cell_angle_beta 90.00
_cell_angle_gamma 90.00
loop_
_atom_site_label
_atom_site_fract_x
_atom_site_fract_y
_atom_site_fract_z
_atom_site_occupancy
Si1 0.0000 0.0000 0.0000 1
Mo1 0.0000 0.0000 0.5000 1
Cl1 0.0000 0.5000 0.2500 1

---

Q.
# SiMoCl2 (PBE-GGA, optimized geometry)
# M_tot = 1.42 μB/f.u.
data_SiMoCl2
_space_group_name_H-M_alt 'C m m m'
_space_group_IT_number 65
_space_group_name_Hall '-C 2 2'
_cell_length_a 5.9516
_cell_length_b 8.0483
_cell_length_c 2.9306
_cell_angle_alpha 90.00
_cell_angle_beta 90.00
_cell_angle_gamma 90.00
loop_
_atom_site_label
_atom_site_fract_x
_atom_site_fract_y
_atom_site_fract_z
_atom_site_occupancy
Si1 0.0000 0.0000 0.0000 1
Mo1 0.0000 0.5000 0.0000 1
Cl1 0.2500 0.2500 0.5000 1

---

Q: Which of them is the most stable? A: P.